The following is a DFT calculation (PBE) of La2ErHf after structural relaxation.

energy of formation	199	meV per atom
distance to the lowest polymorph of the same formula	0.54	kcal/mol of atoms

Unit cell a=4.0651 b=4.0651 c=7.4396 alpha=90.00 beta=90.00 gamma=90.00
Atoms (fractional coordinates):
La (0.0000, 0.0000, 0.7722)
La (0.0000, 0.0000, 0.2278)
Hf (0.5000, 0.5000, 0.0000)
Er (0.5000, 0.5000, 0.5000)

=====

The following is a DFT calculation (PBE) of LiLa4Tc after structural relaxation.

energy of formation	848	meV per atom
distance to the lowest polymorph of the same formula	19.75	kcal/mol of atoms

Unit cell a=6.3763 b=6.3763 c=6.3763 alpha=60.00 beta=60.00 gamma=60.00
Atoms (fractional coordinates):
Li (0.7500, 0.7500, 0.7500)
La (0.8826, 0.3725, 0.3725)
La (0.3725, 0.3725, 0.8826)
La (0.3725, 0.8826, 0.3725)
La (0.3725, 0.3725, 0.3725)
Tc (0.0000, 0.0000, 0.0000)